(1)
## CaPm2Ni9 (PBE-GGA)

Data for CaPm2Ni9 after structural relaxation.

## Properties
Formation enthalpy at 0 K ... -0.266 eV/atom
Symmetry ... R-3m (166)
Crystal system ... trigonal
Density ... 7.97 g/cm3
Size of the total moment ... 0.146 μB per atom

Lattice parameters (Å, degrees): 5.0287 5.0287 8.6634 73.13 73.13 60.00
Closest atoms and distances in Å follow each position.
Element x y z (fractional)
1 Ca 0.0000 0.0000 0.0000  18 Ni 2.90-3.20
2 Pm 0.8625 0.8625 0.4126  12 Ni 2.87-3.17
3 Pm 0.1375 0.1375 0.5874  12 Ni 2.87-3.17
4 Ni 0.6674 0.6674 0.9977  6 Ni 2.44-2.47
5 Ni 0.3326 0.3326 0.0023  6 Ni 2.44-2.47
6 Ni 0.5000 0.5000 0.5000  6 Ni 2.55
7 Ni 0.4193 0.4193 0.2424  7 Ni 2.44-2.55
8 Ni 0.9189 0.4193 0.2424  7 Ni 2.44-2.55
9 Ni 0.4193 0.9189 0.2424  7 Ni 2.44-2.55
10 Ni 0.5807 0.5807 0.7576  7 Ni 2.44-2.55
11 Ni 0.5807 0.0811 0.7576  7 Ni 2.44-2.55
12 Ni 0.0811 0.5807 0.7576  7 Ni 2.44-2.55

(2)
## CaPmNi (PBE-GGA)

Data for CaPmNi after structural relaxation.

## Properties
Energy above the most stable polymorph in this dataset ... 0.0 meV per atom
Formation enthalpy at 0 K ... -0.225 eV/atom
Symmetry ... Cmcm (63)
Crystal system ... orthorhombic
Density ... 4.78 g/cm3
Size of the total moment ... 0.000 μB per atom

Lattice parameters (Å, degrees): 4.1028 3.8599 10.8719 100.23 90.00 90.00
Closest atoms and distances in Å follow each position.
Element x y z (fractional)
1 Ca 0.2500 0.3130 0.6259  1 Ni 3.23
2 Ca 0.7500 0.6870 0.3741  1 Ni 3.23
3 Pm 0.2500 0.0693 0.1386  6 Ni 2.91-2.97
4 Pm 0.7500 0.9307 0.8614  6 Ni 2.91-2.97
5 Ni 0.2500 0.4639 0.9279  2 Ni 2.57
6 Ni 0.7500 0.5361 0.0721  2 Ni 2.57

(3)
## CaPm3Ni2 (PBE-GGA)

Data for CaPm3Ni2 after structural relaxation.

## Properties
Formation enthalpy at 0 K ... -0.086 eV/atom
Symmetry ... C2/m (12)
Crystal system ... monoclinic
Density ... 6.37 g/cm3
Size of the total moment ... 0.000 μB per atom

Lattice parameters (Å, degrees): 5.2085 9.3241 8.3469 125.75 90.00 106.22
Closest atoms and distances in Å follow each position.
Element x y z (fractional)
1 Ca 0.8643 0.7287 0.9432  5 Ni 3.18-3.36, 6 Pm 3.28-3.53
2 Ca 0.1357 0.2713 0.0568  5 Ni 3.18-3.36, 6 Pm 3.28-3.53
3 Pm 0.3215 0.6430 0.6413  2 Ni 2.66-2.88
4 Pm 0.9355 0.8711 0.5988  1 Ni 2.75
5 Pm 0.6333 0.2666 0.7687  4 Ni 2.82-2.94
6 Pm 0.3667 0.7334 0.2313  4 Ni 2.82-2.94
7 Pm 0.0645 0.1289 0.4012  1 Ni 2.75
8 Pm 0.6785 0.3570 0.3587  2 Ni 2.66-2.88
9 Ni 0.5081 0.0162 0.8681  1 Ni 2.39, 1 Pm 2.66
10 Ni 0.4919 0.9838 0.1319  1 Ni 2.39, 1 Pm 2.66
11 Ni 0.7822 0.5643 0.1971  5 Pm 2.75-2.94
12 Ni 0.2178 0.4357 0.8029  5 Pm 2.75-2.94

(4)
## CaPm4Ni4 (PBE-GGA)

Data for CaPm4Ni4 after structural relaxation.

## Properties
Formation enthalpy at 0 K ... -0.161 eV/atom
Symmetry ... P4_2/n (86)
Crystal system ... tetragonal
Density ... 6.39 g/cm3
Size of the total moment ... 0.000 μB per atom

Lattice parameters (Å, degrees): 5.6288 8.8861 8.8861 90.00 90.00 90.00
Closest atoms and distances in Å follow each position.
Element x y z (fractional)
1 Ca 0.0000 0.0000 0.0000  4 Ni 2.89
2 Ca 0.5000 0.5000 0.5000  4 Ni 2.89
3 Pm 0.4006 0.3204 0.9094  5 Ni 2.73-3.03
4 Pm 0.9006 0.5906 0.8204  5 Ni 2.73-3.03
5 Pm 0.4006 0.6796 0.0906  5 Ni 2.73-3.03
6 Pm 0.0994 0.1796 0.5906  5 Ni 2.73-3.03
7 Pm 0.5994 0.9094 0.6796  5 Ni 2.73-3.03
8 Pm 0.0994 0.8204 0.4094  5 Ni 2.73-3.03
9 Pm 0.9006 0.4094 0.1796  5 Ni 2.73-3.03
10 Pm 0.5994 0.0906 0.3204  5 Ni 2.73-3.03
11 Ni 0.6103 0.7861 0.3620  1 Ni 2.62, 4 Pm 2.73-2.92, 1 Ca 2.89
12 Ni 0.6103 0.2139 0.6380  1 Ni 2.62, 4 Pm 2.73-2.92, 1 Ca 2.89
13 Ni 0.1103 0.8620 0.7139  1 Ni 2.62, 4 Pm 2.73-2.92, 1 Ca 2.89
14 Ni 0.8897 0.2861 0.8620  1 Ni 2.62, 4 Pm 2.73-2.92, 1 Ca 2.89
15 Ni 0.8897 0.7139 0.1380  1 Ni 2.62, 4 Pm 2.73-2.92, 1 Ca 2.89
16 Ni 0.3897 0.3620 0.2139  1 Ni 2.62, 4 Pm 2.73-2.92, 1 Ca 2.89
17 Ni 0.3897 0.6380 0.7861  1 Ni 2.62, 4 Pm 2.73-2.92, 1 Ca 2.89
18 Ni 0.1103 0.1380 0.2861  1 Ni 2.62, 4 Pm 2.73-2.92, 1 Ca 2.89

(5)
## CaPm3Ni (PBE-GGA)

Data for CaPm3Ni after structural relaxation.

## Properties
Energy above the most stable polymorph in this dataset ... 0.0 meV per atom
Formation enthalpy at 0 K ... -0.041 eV/atom
Symmetry ... P6_3/mmc (194)
Crystal system ... hexagonal
Density ... 5.54 g/cm3
Size of the total moment ... 0.179 μB per atom

Lattice parameters (Å, degrees): 6.1639 7.7436 7.7436 120.00 90.00 90.00
Closest atoms and distances in Å follow each position.
Element x y z (fractional)
1 Ca 0.7500 0.6667 0.3334  12 Pm 3.76-3.87
2 Ca 0.2500 0.3333 0.6666  12 Pm 3.76-3.87
3 Pm 0.7500 0.6557 0.8279  2 Ni 2.78
4 Pm 0.2500 0.8279 0.6558  2 Ni 2.78
5 Pm 0.2500 0.3443 0.1721  2 Ni 2.78
6 Pm 0.7500 0.1721 0.3442  2 Ni 2.78
7 Pm 0.2500 0.8278 0.1721  2 Ni 2.78
8 Pm 0.7500 0.1722 0.8279  2 Ni 2.78
9 Ni 0.0000 0.0000 0.0000  6 Pm 2.78, 2 Ni 3.08
10 Ni 0.5000 0.0000 0.0000  6 Pm 2.78, 2 Ni 3.08

(6)
## CaPm2Ni (PBE-GGA)

Data for CaPm2Ni after structural relaxation.

## Properties
Energy above the most stable polymorph in this dataset ... 36.2 meV per atom
Formation enthalpy at 0 K ... -0.077 eV/atom
Symmetry ... R3m (160)
Crystal system ... trigonal
Density ... 4.90 g/cm3
Size of the total moment ... 0.000 μB per atom

Lattice parameters (Å, degrees): 4.0139 4.0139 9.7255 78.09 78.09 60.00
Closest atoms and distances in Å follow each position.
Element x y z (fractional)
1 Ca 0.5012 0.5012 0.4964  6 Pm 3.93-4.00, 6 Ca 4.01
2 Pm 0.0529 0.0529 0.8413  3 Ni 2.77
3 Pm 0.2798 0.2798 0.1605  3 Ni 2.76
4 Ni 0.6661 0.6661 0.0017  6 Pm 2.76-2.77